# NdGaPt

A relaxed structure of NdGaPt (GGA-PBE, Alexandria).

The structure in POSCAR format:
```
NdGaPt
1.0
-0.132 -1.938 -2.879
3.450 -0.390 0.105
-2.235 -3.143 4.313
Pt Ga Nd
1 1 1
direct
0.314 0.314 0.627 Pt
0.918 0.918 0.835 Ga
0.619 0.619 0.237 Nd
```

Calculated values
DOS(E_F) = 0.955 states/eV per atom
spin magnetization = 0.000 Bohr magnetons per cell
formation enthalpy at 0 K = -0.729 eV/atom